CdAgSb GGA-PBEsol relaxed; DFT total energy = -2.94 eV per atom; space group = F-43m; total moment = 0.00 μB per atom; uncorrected formation energy = 0.078 eV per atom
1.0
6.654 0.000 0.000
0.000 6.654 0.000
0.000 0.000 6.654
Cd Ag Sb
4 4 4
direct
0.000 0.000 0.000
0.000 0.500 0.500
0.500 0.000 0.500
0.500 0.500 0.000
0.000 0.000 0.500
0.000 0.500 0.000
0.500 0.000 0.000
0.500 0.500 0.500
0.250 0.250 0.750
0.250 0.750 0.250
0.750 0.250 0.250
0.750 0.750 0.750